# 1
Material: Na2LiPtF6
Method: DFT, PBE
State: relaxed

Summary:
* energy: -4.2192 eV per atom
* size of the total moment: 1.00 μB per formula unit
* formation energy from raw total energies: -20.37 eV per formula unit
* SG: P-3m1, No. 164

Lattice parameters (Å, degrees): 5.4965 5.4965 5.2840 90.00 90.00 120.00
Last column: nearest neighbours and their distance in Å.
Positions (direct):
Na: 0.3333 0.6667 0.1156  3 F 2.46
Na: 0.6667 0.3333 0.8844  3 F 2.46
Li: 0.0000 0.0000 0.0000  6 F 1.98
Pt: 0.0000 0.0000 0.5000  6 F 2.09
F: 0.1624 0.3248 0.7673  1 Li 1.98, 1 Pt 2.09
F: 0.1624 0.8376 0.7673  1 Li 1.98, 1 Pt 2.09
F: 0.3248 0.1624 0.2327  1 Li 1.98, 1 Pt 2.09
F: 0.6752 0.8376 0.7673  1 Li 1.98, 1 Pt 2.09
F: 0.8376 0.1624 0.2327  1 Li 1.98, 1 Pt 2.09
F: 0.8376 0.6752 0.2327  1 Li 1.98, 1 Pt 2.09

=====

# 2
Material: NaLi2PuF6
Method: DFT, PBE
State: relaxed

Summary:
* energy: -6.1961 eV per atom
* size of the total moment: 5.00 μB per formula unit
* formation energy from raw total energies: -31.25 eV per formula unit
* SG: P1, No. 1

Lattice parameters (Å, degrees): 5.4481 5.4686 5.4926 119.42 119.19 90.80
Last column: nearest neighbours and their distance in Å.
Positions (direct):
Na: 0.0000 0.0000 0.0000  5 F 2.28-2.47
Li: 0.2561 0.7646 0.4952  6 F 1.96-2.07
Li: 0.7608 0.2692 0.5042  6 F 1.96-2.07
Pu: 0.4879 0.5404 0.9995  6 F 2.29-2.44
F: 0.0571 0.4136 0.9999  2 Li 2.05, 1 Na 2.28
F: 0.0655 0.5690 0.6068  2 Li 1.96-1.97
F: 0.4567 0.9629 0.3919  2 Li 1.96-1.97
F: 0.5177 0.1240 0.9997  2 Li 2.07, 1 Pu 2.29
F: 0.5671 0.5691 0.6286  2 Li 1.98-2.04
F: 0.9372 0.9393 0.3713  2 Li 1.98-2.04

=====

# 3
Material: Na2Li3PuF12
Method: DFT, PBE
State: relaxed

Summary:
* energy: -5.0488 eV per atom
* size of the total moment: 3.79 μB per formula unit
* formation energy from raw total energies: -45.71 eV per formula unit
* SG: R-3m, No. 166

Lattice parameters (Å, degrees): 8.6809 8.6809 8.6809 44.54 44.54 44.54
Last column: nearest neighbours and their distance in Å.
Positions (direct):
Na: 0.0616 0.0616 0.0616  3 F 2.26
Na: 0.9384 0.9384 0.9384  3 F 2.26
Li: 0.0000 0.5000 0.5000  4 F 1.93
Li: 0.5000 0.0000 0.5000  4 F 1.93
Li: 0.5000 0.5000 0.0000  4 F 1.93
Pu: 0.5000 0.5000 0.5000  6 F 2.03
F: 0.1573 0.1573 0.5952  2 Li 1.93
F: 0.1573 0.5952 0.1573  2 Li 1.93
F: 0.1601 0.5949 0.5949  1 Pu 2.03
F: 0.4051 0.4051 0.8399  1 Pu 2.03
F: 0.4051 0.8399 0.4051  1 Pu 2.03
F: 0.4048 0.8427 0.8427  2 Li 1.93
F: 0.5952 0.1573 0.1573  2 Li 1.93
F: 0.5949 0.1601 0.5949  1 Pu 2.03
F: 0.5949 0.5949 0.1601  1 Pu 2.03
F: 0.8399 0.4051 0.4051  1 Pu 2.03
F: 0.8427 0.4048 0.8427  2 Li 1.93
F: 0.8427 0.8427 0.4048  2 Li 1.93

=====

# 4
Material: RbNaLi2F4
Method: DFT, PBE
State: relaxed

Summary:
* energy: -4.3929 eV per atom
* size of the total moment: 0.00 μB per formula unit
* formation energy from raw total energies: -21.54 eV per formula unit
* SG: P4/mmm, No. 123

Lattice parameters (Å, degrees): 3.9559 3.9559 7.1124 90.00 90.00 90.00
Last column: nearest neighbours and their distance in Å.
Positions (direct):
Rb: 0.0000 0.0000 0.0000  8 F 2.84
Na: 0.0000 0.0000 0.5000  8 F 2.49
Li: 0.5000 0.5000 0.2935  4 F 1.98
Li: 0.5000 0.5000 0.7065  4 F 1.98
F: 0.0000 0.5000 0.2873  2 Li 1.98
F: 0.0000 0.5000 0.7127  2 Li 1.98
F: 0.5000 0.0000 0.2873  2 Li 1.98
F: 0.5000 0.0000 0.7127  2 Li 1.98

=====

# 5
Material: Rb2NaLi2F7
Method: DFT, PBE
State: relaxed

Summary:
* energy: -3.9849 eV per atom
* size of the total moment: 2.04 μB per formula unit
* formation energy from raw total energies: -27.64 eV per formula unit
* SG: C2/m, No. 12

Lattice parameters (Å, degrees): 4.1013 4.1013 10.5902 95.90 95.90 88.55
Last column: nearest neighbours and their distance in Å.
Positions (direct):
Rb: 0.2106 0.2106 0.3571  9 F 2.87-3.00
Rb: 0.7894 0.7894 0.6429  9 F 2.87-3.00
Na: 0.0000 0.0000 0.0000  4 F 2.33
Li: 0.3596 0.3596 0.8171  6 F 1.94-2.09
Li: 0.6404 0.6404 0.1829  6 F 1.94-2.09
F: 0.1395 0.6503 0.1576  2 Li 2.04-2.09
F: 0.2768 0.2768 0.6329  1 Li 1.94
F: 0.3497 0.8605 0.8424  2 Li 2.04-2.09
F: 0.5000 0.5000 0.0000  2 Li 1.99
F: 0.6503 0.1395 0.1576  2 Li 2.04-2.09
F: 0.7232 0.7232 0.3671  1 Li 1.94
F: 0.8605 0.3497 0.8424  2 Li 2.04-2.09

=====

# 6
Material: NaLi2ReF8
Method: DFT, PBE
State: relaxed

Summary:
* energy: -5.1678 eV per atom
* size of the total moment: 2.00 μB per formula unit
* formation energy from raw total energies: -29.45 eV per formula unit
* SG: Cmmm, No. 65

Lattice parameters (Å, degrees): 4.8032 4.8032 7.0233 90.00 90.00 95.09
Last column: nearest neighbours and their distance in Å.
Positions (direct):
Na: 0.0000 0.0000 0.0000  2 F 2.19
Li: 0.5000 0.5000 0.1788  2 F 1.84
Li: 0.5000 0.5000 0.8212  2 F 1.84
Re: 0.0000 0.0000 0.5000  6 F 1.89-1.94
F: 0.2054 0.2054 0.2998  1 Re 1.94, 1 Li 2.09
F: 0.2054 0.2054 0.7002  1 Re 1.94, 1 Li 2.09
F: 0.2665 0.7335 0.5000  1 Re 1.89
F: 0.3093 0.6907 0.0000  2 Li 1.84
F: 0.6907 0.3093 0.0000  2 Li 1.84
F: 0.7335 0.2665 0.5000  1 Re 1.89
F: 0.7946 0.7946 0.2998  1 Re 1.94, 1 Li 2.09
F: 0.7946 0.7946 0.7002  1 Re 1.94, 1 Li 2.09